DFT (PBE) results for an optimized crystal structure of ZrPtS.

a = 3.788 Å, b = 4.990 Å, c = 6.174 Å
α = 90.00°, β = 105.58°, γ = 90.00°
Fractional coordinates of all 6 atoms:
Zr (0.157, 0.250, 0.252)
Zr (0.843, 0.750, 0.748)
Pt (0.442, 0.750, 0.067)
Pt (0.558, 0.250, 0.933)
S (0.205, 0.750, 0.408)
S (0.795, 0.250, 0.592)

As for the total moment: 0.0 μB per formula unit. As for the energy relative to the elements, uncorrected: -1.159 eV/atom. Its space group is P2_1/m, No. 11. The polymorph energy (0 for the lowest one) comes out at 0.16 eV/f.u.